Compound: FeGeAuO2
Source: the Alexandria database
Functional: PBE with a Hubbard U
Structure: relaxed

a = 3.757 Å, b = 5.481 Å, c = 3.757 Å
α = 90.00°, β = 90.00°, γ = 90.00°
Site moments in Bohr magnetons follow the coordinates.
Atoms (fractional coordinates):
Ge1 0.000 0.000 0.000  0.00
Au1 0.000 0.500 0.000  0.03
Fe1 0.500 0.500 0.500  3.51
O1 0.000 0.000 0.500  0.01
O2 0.500 0.000 0.000  0.02

Output
- DOS(E_F): 5.05 states/eV/f.u.
- Calculated total energy: -23.67 eV for the cell shown